The following is a DFT calculation (PBE) of NdMgZn2Ga5 after structural relaxation. Values from VASP.

Quantum ESPRESSO input file:
```
&SYSTEM
  ibrav = 0, nat = 9, ntyp = 4
/
ATOMIC_SPECIES
Nd 144.24 Nd.upf
Mg 24.30 Mg.upf
Zn 65.41 Zn.upf
Ga 69.72 Ga.upf
CELL_PARAMETERS angstrom
-3.454 -2.072 0.969
-0.208 -1.464 -3.870
5.766 -8.291 2.826
ATOMIC_POSITIONS crystal
Nd 0.000 0.000 0.500
Mg 0.000 0.000 0.000
Zn 0.500 0.500 0.114
Zn 0.500 0.500 0.886
Ga 0.000 0.500 0.273
Ga 0.500 0.000 0.273
Ga 0.000 0.500 0.727
Ga 0.500 0.000 0.727
Ga 0.500 0.500 0.500
```

Properties
The formation energy comes out at -171 meV per atom. As for the energy: -2.84 eV per atom. Its crystal system is tetragonal. The value obtained for the size of the total moment is 0.00 Bohr magnetons per cell.